Record 1
# BaNa5I7

A relaxed structure of BaNa5I7 (GGA-PBE, the Alexandria database).

The value obtained for the total magnetization is 0.0 μB per formula unit. The raw total energy is -2.88 eV per atom. As for the crystal system: monoclinic. The uncorrected formation energy is -1.392 eV per atom.

Unit cell a=15.411 b=4.746 c=27.054 alpha=90.00 beta=90.02 gamma=90.00
Space group Cm (No. 8)
Inequivalent atoms, fractional coordinates:
Ba 0.000 0.000 0.000 x2
Ba 0.091 0.500 0.501 x2
Na 0.019 0.500 0.180 x2
Na 0.019 0.500 0.821 x2
Na 0.071 0.000 0.680 x2
Na 0.072 0.000 0.321 x2
Na 0.256 0.000 0.109 x2
Na 0.256 0.000 0.892 x2
Na 0.295 0.500 0.750 x2
Na 0.296 0.500 0.250 x2
Na 0.334 0.000 0.609 x2
Na 0.335 0.000 0.392 x2
I 0.110 0.500 0.076 x2
I 0.111 0.500 0.924 x2
I 0.160 0.000 0.786 x2
I 0.161 0.000 0.215 x2
I 0.201 0.500 0.639 x2
I 0.202 0.500 0.361 x2
I 0.256 0.000 0.500 x2
I 0.336 0.000 0.000 x2
I 0.389 0.500 0.139 x2
I 0.389 0.500 0.861 x2
I 0.430 0.000 0.715 x2
I 0.431 0.000 0.286 x2
I 0.480 0.500 0.576 x2
I 0.481 0.500 0.425 x2

Record 2
# Cr2PSe6

A relaxed structure of Cr2PSe6 (GGA-PBE, the Alexandria database).

The value obtained for the total magnetization is 4.6 μB per formula unit. The raw total energy is -5.37 eV per atom. As for the crystal system: trigonal. The uncorrected formation energy is -0.308 eV per atom.

Unit cell a=6.1548 b=6.1548 c=6.0794 alpha=90.00 beta=90.00 gamma=120.00
Space group P-31m (No. 162)
Inequivalent atoms, fractional coordinates:
Cr 0.3333 0.6667 0.0000 x2
P 0.0000 0.0000 0.0000 x1
Se 0.0000 0.3250 0.2301 x6

Record 3
# NbTcHRh2

A relaxed structure of NbTcHRh2 (GGA-PBE, the Alexandria database).

The value obtained for the total magnetization is 0.0 μB per formula unit. The raw total energy is -7.94 eV per atom. For the energy above the most stable polymorph in this dataset, the calculation gives 55.0 meV per atom. As for the crystal system: tetragonal.

Unit cell a=3.885 b=3.885 c=4.138 alpha=90.00 beta=90.00 gamma=90.00
Space group P4/mmm (No. 123)
Inequivalent atoms, fractional coordinates:
Nb 0.000 0.000 0.000 x1
Tc 0.500 0.500 0.000 x1
H 0.000 0.000 0.500 x1
Rh 0.000 0.500 0.500 x2

Record 4
# YTaCu2Tc

A relaxed structure of YTaCu2Tc (GGA-PBE, the Alexandria database).

The value obtained for the total magnetization is 0.0 μB per formula unit. The raw total energy is -6.68 eV per atom. As for the crystal system: tetragonal. The calculation puts the formation energy at 0.695 eV/atom.

Unit cell a=4.785 b=4.785 c=4.630 alpha=90.00 beta=90.00 gamma=90.00
Space group P4/mmm (No. 123)
Inequivalent atoms, fractional coordinates:
Y 0.000 0.000 0.000 x1
Ta 0.500 0.500 0.000 x1
Cu 0.000 0.500 0.500 x2
Tc 0.500 0.500 0.500 x1

Record 5
# TmLuCu

A relaxed structure of TmLuCu (GGA-PBE, the Alexandria database).

The value obtained for the total magnetization is 0.1 μB per formula unit. The raw total energy is -4.52 eV per atom. For the energy above the most stable polymorph in this dataset, the calculation gives 0.0 meV per atom. As for the crystal system: tetragonal. The calculation puts the formation energy at -0.158 eV/atom.

Unit cell a=3.413 b=3.413 c=12.115 alpha=90.00 beta=90.00 gamma=90.00
Space group I4mm (No. 107)
Inequivalent atoms, fractional coordinates:
Tm 0.000 0.000 0.000 x2
Lu 0.000 0.000 0.276 x2
Cu 0.000 0.000 0.641 x2

Record 6
# Pm3Nd2Er6

A relaxed structure of Pm3Nd2Er6 (GGA-PBE, the Alexandria database).

The value obtained for the total magnetization is 0.0 μB per formula unit. The raw total energy is -4.39 eV per atom. For the energy above the most stable polymorph in this dataset, the calculation gives 74.3 meV per atom. As for the crystal system: tetragonal. The calculation puts the formation energy at 0.260 eV/atom.

Unit cell a=4.758 b=4.758 c=33.150 alpha=90.00 beta=90.00 gamma=90.00
Space group I4/mmm (No. 139)
Inequivalent atoms, fractional coordinates:
Pm 0.000 0.000 0.000 x2
Pm 0.000 0.000 0.204 x4
Nd 0.000 0.000 0.454 x4
Er 0.000 0.000 0.307 x4
Er 0.000 0.500 0.121 x8